7
Lattice="2.037 -6.926 0.000 2.037 6.926 0.000 0.000 0.000 4.046" Properties=species:S:1:pos:R:3 comment="ErSi2Tc4 PBE relaxed" final_energy_ev_per_atom=-8.64 density_g_cm3=8.9 magnetic_moment_mub_per_fu=0.00 space_group="Cmmm (65)" pbc="T T T"
Er 0.000 0.000 0.000
Si 2.037 -1.202 2.023
Si 2.037 1.202 2.023
Tc 2.037 -2.679 0.000
Tc 2.037 2.679 0.000
Tc 2.037 -4.340 2.023
Tc 2.037 4.340 2.023



12
Lattice="1.981 -7.311 0.000 1.981 7.311 0.000 0.000 0.000 10.421" Properties=species:S:1:pos:R:3 comment="KLiZrSe3 PBE relaxed" density_g_cm3=4.1 relative_energy_mev_per_atom=6.3 magnetic_moment_mub_per_fu=0.00 space_group="Cmcm (63)" pbc="T T T"
K 1.981 3.774 2.605
K 1.981 -3.774 7.816
Li 1.981 -6.759 2.605
Li 1.981 6.759 7.816
Se 1.981 -5.496 0.496
Se 1.981 -0.890 2.605
Se 1.981 -5.496 4.715
Se 1.981 5.496 5.707
Se 1.981 0.890 7.816
Se 1.981 5.496 9.925
Zr 1.981 0.000 0.000
Zr 1.981 0.000 5.211



4
Lattice="-4.730 -1.158 -0.988 -3.667 2.054 2.651 -2.996 3.365 -2.095" Properties=species:S:1:pos:R:3 comment="FeSiBi2 PBE relaxed" final_energy_ev_per_atom=-4.63 density_g_cm3=9.6 magnetic_moment_mub_per_fu=2.59 space_group="F-43m (216)" pbc="T T T"
Bi 0.000 0.000 0.000
Bi -8.545 3.196 -0.324
Fe -2.848 1.065 -0.108
Si -5.697 2.131 -0.216



4
Lattice="-3.887 -2.018 1.732 -4.209 1.024 -1.849 -2.307 -3.229 -2.536" Properties=species:S:1:pos:R:3 comment="BiPtW2 PBE relaxed" final_energy_ev_per_atom=-8.18 density_g_cm3=17.3 magnetic_moment_mub_per_fu=0.60 space_group="F-43m (216)" pbc="T T T"
Bi -5.201 -2.112 -1.326
Pt -2.601 -1.056 -0.663
W 0.000 0.000 0.000
W -7.802 -3.168 -1.990



4
Lattice="0.000 3.064 3.064 3.064 0.000 3.064 3.064 3.064 0.000" Properties=species:S:1:pos:R:3 comment="BeNbCoSn PBE relaxed" density_g_cm3=8.1 relative_energy_mev_per_atom=0.0 magnetic_moment_mub_per_fu=0.63 space_group="F-43m (216)" pbc="T T T"
Be 1.532 1.532 1.532
Co 4.595 4.595 4.595
Nb 3.064 3.064 3.064
Sn 0.000 0.000 0.000



6
Lattice="0.000 3.219 3.219 3.219 0.000 3.219 3.219 3.219 0.000" Properties=species:S:1:pos:R:3 comment="ErO2 PBE relaxed" final_energy_ev_per_atom=-5.38 density_g_cm3=9.9 magnetic_moment_mub_per_fu=1.04 space_group="Fd-3m (227)" pbc="T T T"
Er 0.000 0.000 0.000
Er 1.610 1.610 1.610
O 2.414 2.414 4.024
O 2.414 4.024 2.414
O 4.024 2.414 2.414
O 4.024 4.024 4.024